Entry 1:
A plane-wave DFT calculation with SCAN was carried out for a PBEsol-optimized structure of Mn2ZnRh.

Computed properties:
DOS at the Fermi energy (states/eV/cell): 2.5
E (eV/atom): -21.37
DFT formation energy (kJ/mol of formula units): -164

```
4
Lattice="0.0000 2.9394 2.9394 2.9394 0.0000 2.9394 2.9394 2.9394 0.0000" Properties=species:S:1:pos:R:3 pbc="T T T"
Mn 0.0000 0.0000 0.0000
Mn 1.4697 1.4697 1.4697
Zn 2.9394 2.9394 2.9394
Rh 4.4091 4.4091 4.4091
```

***

Entry 2:
A plane-wave DFT calculation with SCAN was carried out for a PBEsol-optimized structure of LaBe2Al.

Computed properties:
DOS at the Fermi energy (states/eV/cell): 1.0
E (eV/atom): -14.61
DFT formation energy (kJ/mol of formula units): 108

```
4
Lattice="0.0000 3.2661 3.2661 3.2661 0.0000 3.2661 3.2661 3.2661 0.0000" Properties=species:S:1:pos:R:3 pbc="T T T"
La 0.0000 0.0000 0.0000
Be 3.2661 3.2661 3.2661
Be 4.8992 4.8992 4.8992
Al 1.6331 1.6331 1.6331
```

***

Entry 3:
A plane-wave DFT calculation with SCAN was carried out for a PBEsol-optimized structure of ZnCr2Rh.

Computed properties:
DOS at the Fermi energy (states/eV/cell): 4.1
E (eV/atom): -20.82
DFT formation energy (kJ/mol of formula units): 76

```
4
Lattice="1.2924 0.7461 8.5724 -1.2924 0.7461 8.5724 0.0000 -1.4923 8.5724" Properties=species:S:1:pos:R:3 pbc="T T T"
Zn 0.0000 0.0000 0.0000
Cr 0.0000 0.0000 6.3885
Cr 0.0000 0.0000 19.3287
Rh 0.0000 0.0000 12.8586
```

***

Entry 4:
A plane-wave DFT calculation with SCAN was carried out for a PBEsol-optimized structure of HfIn3Ag.

Computed properties:
DOS at the Fermi energy (states/eV/cell): 3.4
Relative energy among the computed polymorphs (eV/f.u.): 0.00
E (eV/atom): -38.07
DFT formation energy (kJ/mol of formula units): 371

```
5
Lattice="5.0719 0.0000 0.0000 0.0000 5.0719 0.0000 0.0000 0.0000 5.0719" Properties=species:S:1:pos:R:3 pbc="T T T"
Hf 0.0000 0.0000 0.0000
In 0.0000 2.5359 2.5359
In 2.5359 0.0000 2.5359
In 2.5359 2.5359 0.0000
Ag 2.5359 2.5359 2.5359
```

***

Entry 5:
A plane-wave DFT calculation with SCAN was carried out for a PBEsol-optimized structure of Pm2AlCd.

Computed properties:
DOS at the Fermi energy (states/eV/cell): 3.7
E (eV/atom): -31.94
DFT formation energy (kJ/mol of formula units): -156

```
4
Lattice="0.0000 3.7150 3.7150 3.7150 0.0000 3.7150 3.7150 3.7150 0.0000" Properties=species:S:1:pos:R:3 pbc="T T T"
Pm 1.8575 1.8575 1.8575
Pm 5.5726 5.5726 5.5726
Al 0.0000 0.0000 0.0000
Cd 3.7150 3.7150 3.7150
```

***

Entry 6:
A plane-wave DFT calculation with SCAN was carried out for a PBEsol-optimized structure of TiTc2P2.

Computed properties:
DOS at the Fermi energy (states/eV/cell): 3.0
E (eV/atom): -21.62
DFT formation energy (kJ/mol of formula units): -110

```
5
Lattice="-2.1003 2.1003 4.3268 2.1003 -2.1003 4.3268 2.1003 2.1003 -4.3268" Properties=species:S:1:pos:R:3 pbc="T T T"
Ti 0.0000 0.0000 0.0000
Tc 0.0000 0.0000 3.1899
Tc 0.0000 0.0000 5.4638
P 2.1003 0.0000 2.1634
P 0.0000 2.1003 2.1634
```

***

Entry 7:
A plane-wave DFT calculation with SCAN was carried out for a PBEsol-optimized structure of Er2B4C.

Computed properties:
DOS at the Fermi energy (states/eV/cell): 1.4
E (eV/atom): -20.76
DFT formation energy (kJ/mol of formula units): -467

```
7
Lattice="-1.6128 3.2624 3.6669 1.6128 -3.2624 3.6669 1.6128 3.2624 -3.6669" Properties=species:S:1:pos:R:3 pbc="T T T"
Er 0.0000 0.0000 1.7211
Er 0.0000 0.0000 5.6127
B 1.6128 1.4889 0.0000
B 0.0000 2.3807 0.0000
B 0.0000 4.1440 0.0000
B 0.0000 1.7735 3.6669
C 1.6128 0.0000 0.0000
```

***

Entry 8:
A plane-wave DFT calculation with SCAN was carried out for a PBEsol-optimized structure of Sr2BeBr.

Computed properties:
DOS at the Fermi energy (states/eV/cell): 1.7
Relative energy among the computed polymorphs (eV/f.u.): 0.00
E (eV/atom): -17.68
Uncorrected formation energy (eV/atom): -0.591

```
4
Lattice="2.1194 1.2236 8.0960 -2.1194 1.2236 8.0960 0.0000 -2.4473 8.0960" Properties=species:S:1:pos:R:3 pbc="T T T"
Sr 0.0000 0.0000 5.9006
Sr 0.0000 0.0000 18.3874
Be 0.0000 0.0000 12.1440
Br 0.0000 0.0000 0.0000
```

***

Entry 9:
A plane-wave DFT calculation with SCAN was carried out for a PBEsol-optimized structure of Cr3GeF.

Computed properties:
DOS at the Fermi energy (states/eV/cell): 0.8
E (eV/atom): -15.70
Uncorrected formation energy (eV/atom): -0.143

```
5
Lattice="4.3106 0.0000 0.0000 0.0000 4.3106 0.0000 0.0000 0.0000 4.3106" Properties=species:S:1:pos:R:3 pbc="T T T"
Cr 0.0000 0.0000 2.1553
Cr 0.0000 2.1553 0.0000
Cr 2.1553 0.0000 0.0000
Ge 2.1553 2.1553 2.1553
F 0.0000 0.0000 0.0000
```

***

Entry 10:
A plane-wave DFT calculation with SCAN was carried out for a PBEsol-optimized structure of CsSmZnSe3.

Computed properties:
DOS at the Fermi energy (states/eV/cell): 0.0
E (eV/atom): -27.61
Uncorrected formation energy (eV/atom): -1.607

```
12
Lattice="2.0763 -7.9017 0.0000 2.0763 7.9017 0.0000 0.0000 0.0000 11.0020" Properties=species:S:1:pos:R:3 pbc="T T T"
Cs 2.0763 4.0574 8.2515
Cs 2.0763 -4.0574 2.7505
Sm 2.0763 0.0000 0.0000
Sm 2.0763 0.0000 5.5010
Zn 2.0763 7.3122 2.7505
Zn 2.0763 -7.3122 8.2515
Se 2.0763 6.0050 0.7004
Se 2.0763 6.0050 4.8006
Se 2.0763 0.9078 2.7505
Se 2.0763 -0.9078 8.2515
Se 2.0763 -6.0050 6.2014
Se 2.0763 -6.0050 10.3016
```

***

Entry 11:
A plane-wave DFT calculation with SCAN was carried out for a PBEsol-optimized structure of SmGe2Rh2.

Computed properties:
DOS at the Fermi energy (states/eV/cell): 2.1
E (eV/atom): -31.09
DFT formation energy (kJ/mol of formula units): -510

```
5
Lattice="-2.0480 2.0480 5.1622 2.0480 -2.0480 5.1622 2.0480 2.0480 -5.1622" Properties=species:S:1:pos:R:3 pbc="T T T"
Sm 0.0000 0.0000 0.0000
Ge 0.0000 0.0000 3.8995
Ge 0.0000 0.0000 6.4248
Rh 2.0480 0.0000 2.5811
Rh 0.0000 2.0480 2.5811
```

***

Entry 12:
A plane-wave DFT calculation with SCAN was carried out for a PBEsol-optimized structure of CaYI3.

Computed properties:
DOS at the Fermi energy (states/eV/cell): 3.3
E (eV/atom): -30.39
Uncorrected formation energy (eV/atom): -0.845

```
5
Lattice="5.8722 0.0000 0.0000 0.0000 5.8722 0.0000 0.0000 0.0000 5.8722" Properties=species:S:1:pos:R:3 pbc="T T T"
Ca 0.0000 0.0000 0.0000
Y 2.9361 2.9361 2.9361
I 0.0000 2.9361 2.9361
I 2.9361 0.0000 2.9361
I 2.9361 2.9361 0.0000
```